# 1
A plane-wave DFT calculation with GGA-PBE was carried out for an optimized crystal structure of RbLi3Cl.

Calculated values
Density of states at the Fermi level, states/eV per cell: 4.7
Density, g/cm³: 1.46

Lattice parameters (Å, degrees): 5.4370 5.4370 5.4370 90.00 90.00 90.00
Last column: nearest neighbours and their distance in Å.
Space group Pm-3m (No. 221)
Unique sites:
Rb: 0.0000 0.0000 0.0000  12 Li 3.84
Li: 0.0000 0.5000 0.5000  2 Cl 2.72
Cl: 0.5000 0.5000 0.5000  6 Li 2.72

=====

# 2
A plane-wave DFT calculation with GGA-PBE was carried out for an optimized crystal structure of Rb2LiCl.

Calculated values
Density of states at the Fermi level, states/eV per cell: 3.4
Density, g/cm³: 1.53

Lattice parameters (Å, degrees): 9.4135 9.4135 10.4491 90.00 90.00 90.00
Last column: nearest neighbours and their distance in Å.
Space group I-42d (No. 122)
Unique sites:
Rb: 0.1775 0.2500 0.1250  2 Cl 3.17
Li: 0.0000 0.0000 0.5000  4 Rb 4.06
Cl: 0.0000 0.0000 0.0000  4 Rb 3.17

=====

# 3
A plane-wave DFT calculation with GGA-PBE was carried out for an optimized crystal structure of RbLiCl2.

Calculated values
Density of states at the Fermi level, states/eV per cell: 0.0
Density, g/cm³: 2.13

Lattice parameters (Å, degrees): 4.1535 4.1535 25.5824 90.00 90.00 120.00
Last column: nearest neighbours and their distance in Å.
Space group R-3m (No. 166, hexagonal axes)
Unique sites:
Rb: 0.0000 0.0000 0.0000  2 Cl 2.92
Li: 0.0000 0.0000 0.5000  6 Cl 2.75
Cl: 0.0000 0.0000 0.1141  3 Li 2.75, 1 Rb 2.92

=====

# 4
A plane-wave DFT calculation with GGA-PBE was carried out for an optimized crystal structure of Rb5LiCl6.

Calculated values
Density of states at the Fermi level, states/eV per cell: 0.0
Density, g/cm³: 2.56

Lattice parameters (Å, degrees): 7.9738 14.0011 7.9333 90.00 108.86 90.00
Last column: nearest neighbours and their distance in Å.
Space group C2/m (No. 12)
Unique sites:
Rb: 0.0000 0.0000 0.0000  4 Cl 3.23
Rb: 0.0000 0.1699 0.5000  6 Cl 3.25-3.40
Rb: 0.0000 0.3359 0.0000  6 Cl 3.22-3.36
Li: 0.0000 0.5000 0.5000  2 Cl 2.46
Cl: 0.1922 0.5000 0.3116  1 Li 2.46
Cl: 0.2491 0.1621 0.2472  5 Rb 3.22-3.35, 1 Li 3.25

=====

# 5
A plane-wave DFT calculation with GGA-PBE was carried out for an optimized crystal structure of RbLi3Cl3.

Calculated values
Density of states at the Fermi level, states/eV per cell: 3.5
Density, g/cm³: 1.92

Lattice parameters (Å, degrees): 7.1588 7.1588 7.1588 90.00 90.00 90.00
Last column: nearest neighbours and their distance in Å.
Space group Pm-3n (No. 223)
Unique sites:
Rb: 0.0000 0.0000 0.0000  12 Cl 4.00, 12 Li 4.00
Li: 0.0000 0.2500 0.5000  4 Cl 2.53
Cl: 0.0000 0.5000 0.2500  4 Li 2.53

=====

# 6
A plane-wave DFT calculation with GGA-PBE was carried out for an optimized crystal structure of Rb4LiCl4.

Calculated values
Density of states at the Fermi level, states/eV per cell: 3.7
Density, g/cm³: 2.39

Lattice parameters (Å, degrees): 9.9506 9.9506 6.8762 90.00 90.00 90.00
Last column: nearest neighbours and their distance in Å.
Space group P4_2/nmc (No. 137, origin choice 2)
Unique sites:
Rb: 0.0207 0.2500 0.0614  6 Cl 3.43-3.76, 1 Li 3.44
Li: 0.2500 0.7500 0.2500  4 Cl 2.42
Cl: 0.0503 0.7500 0.4497  1 Li 2.42

=====

# 7
A plane-wave DFT calculation with GGA-PBE was carried out for an optimized crystal structure of RbLi2Cl.

Calculated values
Density of states at the Fermi level, states/eV per cell: 7.0
Density, g/cm³: 1.61

Lattice parameters (Å, degrees): 8.2308 8.2308 8.2308 90.00 90.00 90.00
Last column: nearest neighbours and their distance in Å.
Space group Fm-3m (No. 225)
Unique sites:
Rb: 0.0000 0.0000 0.0000  8 Li 3.56
Li: 0.2500 0.2500 0.2500  4 Cl 3.56, 4 Rb 3.56
Cl: 0.0000 0.0000 0.5000  8 Li 3.56

=====

# 8
A plane-wave DFT calculation with GGA-PBE was carried out for an optimized crystal structure of RbLiCl2.

Calculated values
Density of states at the Fermi level, states/eV per cell: 0.0
Density, g/cm³: 2.44

Lattice parameters (Å, degrees): 16.6476 4.1288 7.1437 90.00 115.33 90.00
Last column: nearest neighbours and their distance in Å.
Space group C2 (No. 5)
Unique sites:
Rb: 0.1365 0.0000 0.1358  8 Cl 3.34-3.66
Li: 0.1013 0.5013 0.6006  4 Cl 2.37-2.45
Cl: 0.9999 0.5000 0.2456  2 Li 2.37
Cl: 0.1887 0.0006 0.6885  2 Li 2.45

=====

# 9
A plane-wave DFT calculation with GGA-PBE was carried out for an optimized crystal structure of RbLi3Cl.

Calculated values
Density of states at the Fermi level, states/eV per cell: 4.6
Density, g/cm³: 0.92

Lattice parameters (Å, degrees): 6.3548 6.3548 6.3548 90.00 90.00 90.00
Last column: nearest neighbours and their distance in Å.
Space group Pm-3m (No. 221)
Unique sites:
Rb: 0.0000 0.0000 0.0000  6 Li 3.18
Li: 0.0000 0.0000 0.5000  2 Rb 3.18
Cl: 0.5000 0.5000 0.5000  12 Li 4.49

=====

# 10
A plane-wave DFT calculation with GGA-PBE was carried out for an optimized crystal structure of RbLi2Cl.

Calculated values
Density of states at the Fermi level, states/eV per cell: 10.2
Density, g/cm³: 1.31

Lattice parameters (Å, degrees): 7.8229 7.8229 11.1460 90.00 90.00 90.00
Last column: nearest neighbours and their distance in Å.
Space group I4_1/amd (No. 141, origin choice 2)
Unique sites:
Rb: 0.0000 0.2500 0.3750  12 Li 4.59-4.61, 4 Cl 4.80, 4 Rb 4.80
Li: 0.0000 0.0000 0.0000  2 Cl 2.40
Cl: 0.0000 0.2500 0.8750  4 Li 2.40

=====

# 11
A plane-wave DFT calculation with GGA-PBE was carried out for an optimized crystal structure of Rb2LiCl.

Calculated values
Density of states at the Fermi level, states/eV per cell: 0.0
Density, g/cm³: 2.00

Lattice parameters (Å, degrees): 8.9144 8.9144 8.9144 90.00 90.00 90.00
Last column: nearest neighbours and their distance in Å.
Space group Fm-3m (No. 225)
Unique sites:
Rb: 0.2500 0.2500 0.2500  4 Cl 3.86, 4 Li 3.86
Li: 0.0000 0.0000 0.0000  8 Rb 3.86
Cl: 0.0000 0.0000 0.5000  8 Rb 3.86

=====

# 12
A plane-wave DFT calculation with GGA-PBE was carried out for an optimized crystal structure of Rb3LiCl.

Calculated values
Density of states at the Fermi level, states/eV per cell: 3.6
Density, g/cm³: 1.76

Lattice parameters (Å, degrees): 6.5585 6.5585 6.5585 90.00 90.00 90.00
Last column: nearest neighbours and their distance in Å.
Space group Pm-3m (No. 221)
Unique sites:
Rb: 0.0000 0.0000 0.5000  2 Cl 3.28
Li: 0.5000 0.5000 0.5000  12 Rb 4.64
Cl: 0.0000 0.0000 0.0000  6 Rb 3.28

=====

# 13
A plane-wave DFT calculation with GGA-PBE was carried out for an optimized crystal structure of RbLiCl2.

Calculated values
Density of states at the Fermi level, states/eV per cell: 0.0
Density, g/cm³: 1.63

Lattice parameters (Å, degrees): 4.9467 4.9467 23.5200 90.00 90.00 120.00
Last column: nearest neighbours and their distance in Å.
Space group R-3m (No. 166, hexagonal axes)
Unique sites:
Rb: 0.0000 0.0000 0.0000  6 Cl 3.34
Li: 0.0000 0.0000 0.5000  2 Cl 2.18
Cl: 0.0000 0.0000 0.4073  1 Li 2.18

=====

# 14
A plane-wave DFT calculation with GGA-PBE was carried out for an optimized crystal structure of RbLiCl2.

Calculated values
Density of states at the Fermi level, states/eV per cell: 0.0
Density, g/cm³: 2.37

Lattice parameters (Å, degrees): 7.2839 7.2839 8.6189 90.00 90.00 90.00
Last column: nearest neighbours and their distance in Å.
Space group I-42d (No. 122)
Unique sites:
Rb: 0.0000 0.0000 0.0000  4 Cl 3.29
Li: 0.0000 0.0000 0.5000  4 Cl 2.40
Cl: 0.1548 0.2500 0.6250  2 Li 2.40

=====

# 15
A plane-wave DFT calculation with GGA-PBE was carried out for an optimized crystal structure of RbLiCl2.

Calculated values
Density of states at the Fermi level, states/eV per cell: 0.0
Density, g/cm³: 2.45

Lattice parameters (Å, degrees): 4.1923 14.7732 7.1512 90.00 90.00 90.00
Last column: nearest neighbours and their distance in Å.
Space group Cmcm (No. 63)
Unique sites:
Rb: 0.0000 0.1313 0.2500  8 Cl 3.37-3.68
Li: 0.0000 0.3936 0.2500  4 Cl 2.38-2.43
Cl: 0.0000 0.1900 0.7500  2 Li 2.43
Cl: 0.0000 0.5000 0.0000  2 Li 2.38

=====

# 16
A plane-wave DFT calculation with GGA-PBE was carried out for an optimized crystal structure of RbLiCl2.

Calculated values
Density of states at the Fermi level, states/eV per cell: 0.0
Density, g/cm³: 2.59

Lattice parameters (Å, degrees): 7.4775 7.4775 7.4775 90.00 90.00 90.00
Last column: nearest neighbours and their distance in Å.
Space group Fm-3m (No. 225)
Unique sites:
Rb: 0.0000 0.0000 0.0000  8 Cl 3.24
Li: 0.0000 0.0000 0.5000  8 Cl 3.24
Cl: 0.2500 0.2500 0.2500  4 Li 3.24, 4 Rb 3.24

=====

# 17
A plane-wave DFT calculation with GGA-PBE was carried out for an optimized crystal structure of Rb2LiCl7.

Calculated values
Density of states at the Fermi level, states/eV per cell: 15.3
Density, g/cm³: 2.58

Lattice parameters (Å, degrees): 7.7622 7.7622 9.0939 90.00 90.00 90.00
Last column: nearest neighbours and their distance in Å.
Space group I4/mmm (No. 139)
Unique sites:
Rb: 0.0000 0.5000 0.2500  12 Cl 3.57-3.88
Li: 0.0000 0.0000 0.0000  6 Cl 2.36-2.52
Cl: 0.0000 0.0000 0.2597  1 Cl 2.18, 1 Li 2.36
Cl: 0.0000 0.0000 0.5000  2 Cl 2.18
Cl: 0.2299 0.2299 0.0000  1 Li 2.52

=====

# 18
A plane-wave DFT calculation with GGA-PBE was carried out for an optimized crystal structure of Rb3Li5Cl12.

Calculated values
Density of states at the Fermi level, states/eV per cell: 123.2
Density, g/cm³: 2.17

Lattice parameters (Å, degrees): 16.3751 16.3751 16.3751 90.00 90.00 90.00
Last column: nearest neighbours and their distance in Å.
Space group Ia-3d (No. 230)
Unique sites:
Rb: 0.0000 0.2500 0.1250  8 Cl 3.23-3.52
Li: 0.0000 0.0000 0.0000  6 Cl 2.62
Li: 0.0000 0.2500 0.3750  4 Cl 2.39
Cl: 0.0499 0.0594 0.6397  2 Li 2.39-2.62

=====

# 19
A plane-wave DFT calculation with GGA-PBE was carried out for an optimized crystal structure of RbLiCl2.

Calculated values
Density of states at the Fermi level, states/eV per cell: 0.0
Density, g/cm³: 2.61

Lattice parameters (Å, degrees): 4.0584 4.0584 21.8166 90.00 90.00 120.00
Last column: nearest neighbours and their distance in Å.
Space group R3m (No. 160, hexagonal axes)
Unique sites:
Rb: 0.0000 0.0000 0.0000  6 Cl 3.22-3.24
Li: 0.0000 0.0000 0.8306  6 Cl 2.71-2.76
Cl: 0.0000 0.0000 0.2305  3 Li 2.76
Cl: 0.0000 0.0000 0.4346  3 Li 2.71

=====

# 20
A plane-wave DFT calculation with GGA-PBE was carried out for an optimized crystal structure of RbLi2Cl2.

Calculated values
Density of states at the Fermi level, states/eV per cell: 1.8
Density, g/cm³: 1.38

Lattice parameters (Å, degrees): 4.4391 4.4391 20.8042 90.00 90.00 90.00
Last column: nearest neighbours and their distance in Å.
Space group I4/mmm (No. 139)
Unique sites:
Rb: 0.0000 0.0000 0.0000  4 Rb 4.44
Li: 0.0000 0.5000 0.2500  4 Cl 2.42
Cl: 0.0000 0.0000 0.2960  4 Li 2.42

=====

| no. | calculated volume (Å³/cell) | uncorrected energy (eV per atom) | formation energy without anion corrections (kJ/mol of formula units) |
| --- | --- | --- | --- |
| 1 | 161 | -2.063 | -170 |
| 2 | 926 | -2.139 | -276 |
| 3 | 382 | -3.104 | -564 |
| 4 | 838 | -3.350 | -2159 |
| 5 | 367 | -3.152 | -947 |
| 6 | 681 | -3.067 | -1393 |
| 7 | 558 | -1.871 | -81 |
| 8 | 444 | -3.518 | -723 |
| 9 | 257 | -1.258 | 219 |
| 10 | 682 | -2.295 | -245 |
| 11 | 708 | -2.017 | -229 |
| 12 | 282 | -1.975 | -310 |
| 13 | 498 | -3.392 | -675 |
| 14 | 457 | -3.495 | -715 |
| 15 | 443 | -3.527 | -727 |
| 16 | 418 | -3.216 | -607 |
| 17 | 548 | -2.595 | -886 |
| 18 | 4391 | -3.016 | -2479 |
| 19 | 311 | -3.408 | -681 |
| 20 | 410 | -3.057 | -656 |